No. 1
TbHoSc4: optimized geometry, GGA-PBE.

Cell: 8.4245 5.3039 9.7687 Å, 90.00 105.09 129.02°
Atoms (fractional coordinates):
Sc  0.2071  0.9568  0.4166
Sc  0.5420  0.2920  0.0833
Sc  0.7929  0.0432  0.5834
Sc  0.0413  0.7913  0.0833
Sc  0.2905  0.5402  0.5834
Sc  0.7095  0.4598  0.4166
Sc  0.9587  0.2087  0.9167
Sc  0.4580  0.7080  0.9167
Tb  0.6245  0.3745  0.7490
Tb  0.3755  0.6255  0.2510
Ho  0.1255  0.8755  0.7510
Ho  0.8745  0.1245  0.2490

Summary:
Total magnetization (μB per atom): 0.00
Energy above the most stable polymorph in this dataset (meV per atom): 29
SG: Cmcm, No. 63
DOS at the Fermi energy (states/eV/cell): 23.90
Energy of formation from the pure elements (eV per atom): 0.06



No. 2
TlBi2Pb: optimized geometry, GGA-PBE.

Cell: 3.5076 5.1885 7.1124 Å, 90.00 90.00 90.00°
Atoms (fractional coordinates):
Tl  0.0000  0.5000  0.5000
Bi  0.5000  0.0000  0.2357
Bi  0.5000  0.0000  0.7643
Pb  0.0000  0.5000  0.0000

Summary:
Total magnetization (μB per atom): 0.00
Energy above the most stable polymorph in this dataset (meV per atom): 0
SG: Pmmm, No. 47
DOS at the Fermi energy (states/eV/cell): 2.26
Energy of formation from the pure elements (eV per atom): 0.01



No. 3
Cs6H5: optimized geometry, GGA-PBE.

Cell: 7.9553 7.9466 7.9421 Å, 80.28 70.28 59.96°
Atoms (fractional coordinates):
H  0.8327  0.3346  0.5000
H  0.1673  0.6654  0.5000
H  0.3331  0.3337  0.0000
H  0.6669  0.6663  0.0000
H  0.5000  0.0000  0.5000
Cs  0.4336  0.6514  0.7453
Cs  0.2618  0.0000  0.2628
Cs  0.9149  0.6514  0.2547
Cs  0.0851  0.3486  0.7453
Cs  0.7382  0.0000  0.7372
Cs  0.5664  0.3486  0.2547

Summary:
Total magnetization (μB per atom): 0.09
E (eV/atom): -2.108
SG: C2/m, No. 12
DOS at the Fermi energy (states/eV/cell): 0.97



No. 4
Cd2IrW: optimized geometry, GGA-PBE.

Cell: 4.8767 4.8767 2.9497 Å, 90.00 90.00 90.00°
Atoms (fractional coordinates):
Ir  0.5000  0.0000  0.5000
W  0.0000  0.5000  0.5000
Cd  0.0000  0.0000  0.0000
Cd  0.5000  0.5000  0.0000

Summary:
Total magnetization (μB per atom): 0.00
Energy above the most stable polymorph in this dataset (meV per atom): 722
SG: P4/mmm, No. 123
DOS at the Fermi energy (states/eV/cell): 5.16
Energy of formation from the pure elements (eV per atom): 0.80



No. 5
CaScSe: optimized geometry, GGA-PBE.

Cell: 3.8238 3.8238 6.4364 Å, 90.00 90.00 120.00°
Site moments in Bohr magnetons follow the coordinates.
Atoms (fractional coordinates):
Se  0.3333  0.6667  0.6472  -0.01
Sc  0.6667  0.3333  0.4043  0.34
Ca  0.0000  0.0000  0.9485  0.01

Summary:
Raw formation energy (eV/atom): -1.0179
Total magnetization (μB per atom): 0.21
Energy above the most stable polymorph in this dataset (meV per atom): 0
SG: P3m1, No. 156
DOS at the Fermi energy (states/eV/cell): 2.64



No. 6
K2PaGaO6: optimized geometry, GGA-PBE.

Cell: 5.8875 5.8875 5.8876 Å, 59.99 59.99 59.99°
Site moments in Bohr magnetons follow the coordinates.
Atoms (fractional coordinates):
O  0.5576  0.5583  0.8098  0.30
O  0.5583  0.0744  0.8097  0.30
O  0.0740  0.5580  0.2933  0.30
O  0.0747  0.0740  0.2933  0.30
O  0.5579  0.0748  0.2933  0.30
O  0.0744  0.5576  0.8097  0.30
K  0.5662  0.5662  0.3016  0.00
K  0.0661  0.0661  0.8015  0.00
Ga  0.3162  0.3162  0.0515  0.00
Pa  0.8162  0.8162  0.5515  -0.01

Summary:
Raw formation energy (eV/atom): -2.1094
Total magnetization (μB per atom): 0.21
SG: Fm-3m, No. 225
DOS at the Fermi energy (states/eV/cell): 3.18



Q: Number 1 is which compound?
A: TbHoSc4



Q: Look up the total magnetization of the sixth one.
A: 0.21 μB per atom